[1]
P2RuSeN | PBE | optimized geometry

Calculated values
Crystal system   triclinic
Formation energy without anion corrections   0.1 eV per formula unit
Excess energy over the best structure of this formula in the dataset   0.45 eV/f.u.
Total moment   0.000 μB/f.u.

Cell lengths 3.855, 4.149, 5.289 Å; angles 102.37, 94.93, 110.95 degrees
Atoms (fractional coordinates):
P  0.000  0.000  0.000
P  0.099  0.718  0.337
Ru  0.736  0.005  0.542
Se  0.480  0.482  0.755
N  0.889  0.271  0.236

[2]
Ti5IrPd2Rh2 | PBE | optimized geometry

Calculated values
Electronic total energy   -156.87 eV per cell
Crystal system   tetragonal
Total moment   0.000 μB/f.u.

Cell lengths 10.638, 10.638, 2.940 Å; angles 90.00, 90.00, 90.00 degrees
Atoms (fractional coordinates):
Ti  0.000  0.500  0.000
Ti  0.129  0.160  0.000
Ti  0.160  0.871  0.000
Ti  0.340  0.371  0.000
Ti  0.371  0.660  0.000
Ti  0.500  0.000  0.000
Ti  0.629  0.340  0.000
Ti  0.660  0.629  0.000
Ti  0.840  0.129  0.000
Ti  0.871  0.840  0.000
Ir  0.000  0.000  0.500
Ir  0.500  0.500  0.500
Pd  0.154  0.654  0.500
Pd  0.346  0.154  0.500
Pd  0.654  0.846  0.500
Pd  0.846  0.346  0.500
Rh  0.143  0.357  0.500
Rh  0.357  0.857  0.500
Rh  0.643  0.143  0.500
Rh  0.857  0.643  0.500